KBe2Pb | GGA-PBE | relaxed

Geometry as POSCAR:
```
KBe2Pb
1.0
3.513 -2.028 0.000
3.513 2.028 0.000
-2.357 0.000 6.769
K Be Pb
1 2 1
Direct
0.000 0.000 0.000
0.461 0.461 0.383
0.794 0.794 0.383
0.191 0.191 0.573
```

Computed properties:
Energy (eV per atom): -2.6822
E_form (eV/f.u.): 1.53
Total magnetization (μB per formula unit): 0.00


La6Tc2Sn | GGA-PBE | relaxed

Geometry as POSCAR:
```
La6Tc2Sn
1.0
-4.947 5.013 5.430
4.947 -5.013 5.430
4.947 5.013 -5.430
La Tc Sn
12 4 2
Direct
0.030 0.237 0.793
0.188 0.285 0.473
0.188 0.715 0.903
0.330 0.015 0.686
0.330 0.644 0.314
0.444 0.237 0.207
0.556 0.763 0.793
0.670 0.356 0.686
0.670 0.985 0.314
0.812 0.285 0.097
0.812 0.715 0.527
0.970 0.763 0.207
0.115 0.615 0.500
0.320 0.000 0.320
0.680 0.000 0.680
0.885 0.385 0.500
0.000 0.000 0.000
0.500 0.500 0.000
```

Computed properties:
Energy (eV per atom): -6.2577
E_form (eV/f.u.): -2.02
Total magnetization (μB per formula unit): 0.00


Tb2MgRh | GGA-PBE | relaxed

Geometry as POSCAR:
```
Tb2MgRh
1.0
1.969 -7.199 0.000
1.969 7.199 0.000
0.000 0.000 7.347
Tb Mg Rh
4 2 2
Direct
0.143 0.857 0.504
0.143 0.857 0.996
0.857 0.143 0.004
0.857 0.143 0.496
0.492 0.508 0.250
0.508 0.492 0.750
0.297 0.703 0.250
0.703 0.297 0.750
```

Computed properties:
Energy above the most stable polymorph in this dataset (meV per atom): 0
Energy (eV per atom): -5.0293
E_form (eV/f.u.): -1.91
Total magnetization (μB per formula unit): 0.00


Sn5Hg3Cl12 | GGA-PBE | relaxed

Geometry as POSCAR:
```
Sn5Hg3Cl12
1.0
-9.145 9.145 9.145
9.145 -9.145 9.145
9.145 9.145 -9.145
Sn Hg Cl
20 12 48
Direct
0.000 0.000 0.000
0.000 0.000 0.500
0.000 0.500 0.000
0.000 0.500 0.500
0.125 0.750 0.875
0.125 0.875 0.250
0.250 0.125 0.875
0.250 0.625 0.375
0.375 0.250 0.625
0.375 0.625 0.750
0.500 0.000 0.000
0.500 0.000 0.500
0.500 0.500 0.000
0.500 0.500 0.500
0.625 0.375 0.250
0.625 0.750 0.375
0.750 0.375 0.625
0.750 0.875 0.125
0.875 0.125 0.750
0.875 0.250 0.125
0.125 0.250 0.375
0.125 0.375 0.750
0.250 0.375 0.125
0.250 0.875 0.625
0.375 0.125 0.250
0.375 0.750 0.125
0.625 0.250 0.875
0.625 0.875 0.750
0.750 0.125 0.375
0.750 0.625 0.875
0.875 0.625 0.250
0.875 0.750 0.625
0.004 0.681 0.100
0.004 0.823 0.904
0.081 0.677 0.681
0.081 0.904 0.400
0.096 0.600 0.919
0.096 0.996 0.177
0.100 0.004 0.681
0.100 0.596 0.419
0.177 0.096 0.996
0.177 0.581 0.181
0.181 0.177 0.581
0.181 0.504 0.600
0.319 0.900 0.996
0.319 0.919 0.323
0.323 0.319 0.919
0.323 0.504 0.404
0.400 0.081 0.904
0.400 0.819 0.496
0.404 0.323 0.504
0.404 0.581 0.900
0.419 0.100 0.596
0.419 0.819 0.823
0.496 0.400 0.819
0.496 0.596 0.677
0.504 0.404 0.323
0.504 0.600 0.181
0.581 0.181 0.177
0.581 0.900 0.404
0.596 0.419 0.100
0.596 0.677 0.496
0.600 0.181 0.504
0.600 0.919 0.096
0.677 0.496 0.596
0.677 0.681 0.081
0.681 0.081 0.677
0.681 0.100 0.004
0.819 0.496 0.400
0.819 0.823 0.419
0.823 0.419 0.819
0.823 0.904 0.004
0.900 0.404 0.581
0.900 0.996 0.319
0.904 0.004 0.823
0.904 0.400 0.081
0.919 0.096 0.600
0.919 0.323 0.319
0.996 0.177 0.096
0.996 0.319 0.900
```

Computed properties:
Energy relative to the elements, uncorrected (eV/atom): -0.704
Energy (eV per atom): -2.8577
Total magnetization (μB per formula unit): 0.00


TbTmTh4 | GGA-PBE | relaxed

Geometry as POSCAR:
```
TbTmTh4
1.0
3.486 0.000 0.000
0.000 5.702 0.000
0.000 0.000 9.861
Tb Tm Th
1 1 4
Direct
0.000 0.000 0.000
0.000 0.500 0.500
0.500 0.000 0.335
0.500 0.000 0.665
0.500 0.500 0.168
0.500 0.500 0.832
```

Computed properties:
Energy above the most stable polymorph in this dataset (meV per atom): 46
Energy (eV per atom): -6.3748
E_form (eV/f.u.): 0.53
Total magnetization (μB per formula unit): 0.00


BeCuSbI2 | GGA-PBE | relaxed

Geometry as POSCAR:
```
BeCuSbI2
1.0
5.396 0.000 0.000
0.000 5.396 0.000
0.000 0.000 4.765
Be Cu Sb I
1 1 1 2
Direct
0.000 0.000 0.000
0.500 0.500 0.500
0.000 0.000 0.500
0.000 0.500 0.000
0.500 0.000 0.000
```

Computed properties:
Energy above the most stable polymorph in this dataset (meV per atom): 0
Energy relative to the elements, uncorrected (eV/atom): 0.684
Energy (eV per atom): -2.3249
Total magnetization (μB per formula unit): 0.00


no.,DOS at the Fermi energy (states/eV/f.u.)
1,2.1
2,7.2
3,2.1
4,12.8
5,7.3
6,3.6